[1]
The following is a PBEsol calculation of a relaxed structure of RbLiN3, from Alexandria.

Output
As for the density: 2.82 g/cm³. As for the formation energy (no corrections): 1875.2 meV per atom. For the total energy, the calculation gives -3.84 eV per atom.

Cell and atoms, written as CIF:
```
data_RbLiN3
_chemical_formula_sum 'Rb1 Li1 N3'
_cell_length_a 4.293
_cell_length_b 4.293
_cell_length_c 4.293
_cell_angle_alpha 90.00
_cell_angle_beta 90.00
_cell_angle_gamma 90.00
_symmetry_space_group_name_H-M 'P m -3 m'
_symmetry_Int_Tables_number 221
_symmetry_space_group_name_Hall '-P 4 2 3'
loop_
_atom_site_label
_atom_site_type_symbol
_atom_site_fract_x
_atom_site_fract_y
_atom_site_fract_z
Rb1 Rb 0.000 0.000 0.000
Li1 Li 0.500 0.500 0.500
N1 N 0.000 0.500 0.500
```

---

[2]
The following is a PBEsol calculation of a relaxed structure of Li2LaZnGe, from Alexandria.

Output
Its formation energy is 1.0638 eV/atom. As for the density: 2.21 g/cm³. For the total energy, the calculation gives -2.10 eV per atom.

Cell and atoms, written as CIF:
```
data_Li2LaZnGe
_chemical_formula_sum 'Li2 La1 Zn1 Ge1'
_cell_length_a 6.379
_cell_length_b 6.379
_cell_length_c 5.367
_cell_angle_alpha 90.00
_cell_angle_beta 90.00
_cell_angle_gamma 90.00
_symmetry_space_group_name_H-M 'P 4/m m m'
_symmetry_Int_Tables_number 123
_symmetry_space_group_name_Hall '-P 4 2'
loop_
_atom_site_label
_atom_site_type_symbol
_atom_site_fract_x
_atom_site_fract_y
_atom_site_fract_z
Li1 Li 0.000 0.500 0.000
La1 La 0.000 0.000 0.000
Zn1 Zn 0.500 0.500 0.500
Ge1 Ge 0.000 0.000 0.500
```

---

[3]
The following is a PBEsol calculation of a relaxed structure of Fe5Ni4, from Alexandria.

Output
Its formation energy is 0.0269 eV/atom. As for the density: 8.81 g/cm³. For the total energy, the calculation gives -7.69 eV per atom.

Cell and atoms, written as CIF:
```
data_Fe5Ni4
_chemical_formula_sum 'Fe10 Ni8'
_cell_length_a 7.499
_cell_length_b 7.499
_cell_length_c 3.445
_cell_angle_alpha 90.00
_cell_angle_beta 90.00
_cell_angle_gamma 90.00
_symmetry_space_group_name_H-M 'I 4/m m m'
_symmetry_Int_Tables_number 139
_symmetry_space_group_name_Hall '-I 4 2'
loop_
_atom_site_label
_atom_site_type_symbol
_atom_site_fract_x
_atom_site_fract_y
_atom_site_fract_z
Fe1 Fe 0.000 0.000 0.000
Fe2 Fe 0.169 0.169 0.500
Ni1 Ni 0.000 0.335 0.000
```

---

[4]
The following is a PBEsol calculation of a relaxed structure of Al2SbIr, from Alexandria.

Output
As for the density: 8.62 g/cm³. As for the formation energy (no corrections): -177.9 meV per atom. For the total energy, the calculation gives -5.82 eV per atom.

Cell and atoms, written as CIF:
```
data_Al2SbIr
_chemical_formula_sum 'Al4 Sb2 Ir2'
_cell_length_a 8.338
_cell_length_b 3.081
_cell_length_c 5.634
_cell_angle_alpha 90.00
_cell_angle_beta 101.63
_cell_angle_gamma 90.00
_symmetry_space_group_name_H-M 'C 1 2/m 1'
_symmetry_Int_Tables_number 12
_symmetry_space_group_name_Hall '-C 2y'
loop_
_atom_site_label
_atom_site_type_symbol
_atom_site_fract_x
_atom_site_fract_y
_atom_site_fract_z
Al1 Al 0.235 0.000 0.186
Sb1 Sb 0.000 0.000 0.500
Ir1 Ir 0.000 0.500 0.000
```